First-principles (PBE) data for a geometry-optimized Ta2BBr structure, as listed in Alexandria via LeMat-Bulk.

Structure (POSCAR):
```
Ta2BBr
1.0
-2.637 2.637 5.757
2.637 -2.637 5.757
2.637 2.637 -5.757
Ta B Br
4 2 2
direct
0.029 0.625 0.904 Ta
0.375 0.279 0.404 Ta
0.721 0.125 0.096 Ta
0.875 0.971 0.596 Ta
0.000 0.000 0.000 B
0.750 0.250 0.500 B
0.250 0.750 0.500 Br
0.500 0.500 0.000 Br
```

Properties
As for the density of states at the Fermi level: 3.326 states/eV/cell. The calculation puts the electronic total energy at -7.319 eV/atom. Its formation energy (no corrections) is 0.695 eV per atom. The crystal system is tetragonal. The magnetic moment comes out at 0.0 μB/f.u.

---

First-principles (PBE) data for a geometry-optimized Ta2TiBBr structure, as listed in Alexandria via LeMat-Bulk.

Structure (POSCAR):
```
Ta2TiBBr
1.0
4.370 0.000 0.000
0.000 4.370 0.000
0.000 0.000 4.548
Ta Ti B Br
2 1 1 1
direct
0.000 0.500 0.000 Ta
0.500 0.000 0.000 Ta
0.000 0.000 0.500 Ti
0.000 0.000 0.000 B
0.500 0.500 0.500 Br
```

Properties
As for the density of states at the Fermi level: 7.696 states/eV/cell. The calculation puts the electronic total energy at -7.453 eV/atom. Its formation energy (no corrections) is 0.537 eV per atom. The crystal system is tetragonal. The magnetic moment comes out at 0.0 μB/f.u.